Entry 1:
Crystalline Cr2InCuRh at its relaxed geometry, computed with PBE.

Lattice parameters (Å, degrees): 4.722 5.056 4.722 90.00 90.00 90.00
Site moments in Bohr magnetons follow the coordinates.
Positions (direct):
Cr (0.500, 0.000, 0.000)  3.67
Cu (0.500, 0.500, 0.500)  0.01
Rh (0.000, 0.000, 0.000)  -0.12
In (0.000, 0.500, 0.000)  -0.06
Cr (0.000, 0.000, 0.500)  3.16

DFT formation energy = 0.994 eV/atom



Entry 2:
Crystalline Cr4InCuS8 at its relaxed geometry, computed with PBE.

Lattice parameters (Å, degrees): 7.232 7.232 7.232 58.73 58.73 58.73
Site moments in Bohr magnetons follow the coordinates.
Positions (direct):
S (0.255, 0.255, 0.767)  -0.07
S (0.745, 0.231, 0.745)  -0.12
Cr (0.491, 0.003, 0.003)  2.88
S (0.255, 0.767, 0.255)  -0.07
S (0.767, 0.255, 0.255)  -0.07
Cr (0.003, 0.003, 0.491)  2.88
Cr (0.003, 0.491, 0.003)  2.88
S (0.241, 0.241, 0.241)  -0.12
S (0.745, 0.745, 0.231)  -0.12
Cu (0.372, 0.372, 0.372)  -0.09
Cr (0.628, 0.628, 0.628)  3.16
In (0.003, 0.003, 0.003)  0.08
S (0.231, 0.745, 0.745)  -0.12
S (0.760, 0.760, 0.760)  -0.13

uncorrected formation energy = -0.581 eV per atom



Entry 3:
Crystalline CrInCu2S at its relaxed geometry, computed with PBE.

Lattice parameters (Å, degrees): 4.794 5.231 4.794 90.00 90.00 90.00
Site moments in Bohr magnetons follow the coordinates.
Positions (direct):
Cu (0.000, 0.000, 0.500)  -0.02
S (0.000, 0.500, 0.000)  -0.10
In (0.000, 0.000, 0.000)  -0.01
Cu (0.500, 0.000, 0.000)  -0.03
Cr (0.500, 0.500, 0.500)  4.19

uncorrected formation energy = 1.028 eV per atom



Entry 4:
Crystalline CrInCuS4 at its relaxed geometry, computed with PBE.

Lattice parameters (Å, degrees): 7.125 7.264 7.264 60.23 60.63 60.63
Site moments in Bohr magnetons follow the coordinates.
Positions (direct):
S (0.237, 0.769, 0.269)  -0.12
Cu (0.375, 0.375, 0.875)  -0.18
S (0.746, 0.232, 0.276)  -0.11
S (0.254, 0.224, 0.268)  -0.11
S (0.763, 0.231, 0.731)  -0.12
S (0.724, 0.769, 0.269)  -0.12
Cu (0.625, 0.625, 0.125)  -0.18
Cr (0.500, 0.000, 0.500)  2.65
S (0.254, 0.768, 0.724)  -0.11
In (0.000, 0.000, 0.000)  0.03
S (0.276, 0.231, 0.731)  -0.12
Cr (0.000, 0.000, 0.500)  2.65
In (0.000, 0.500, 0.500)  0.03
S (0.746, 0.776, 0.732)  -0.11

uncorrected formation energy = -0.478 eV per atom



| no. | uncorrected energy (eV/cell) | magnetic moment (μB/f.u.) |
| --- | --- | --- |
| 1 | -28.5 | 7.33 |
| 2 | -86.5 | 12.00 |
| 3 | -19.5 | 4.61 |
| 4 | -72.6 | 2.11 |